A plane-wave DFT calculation with GGA-PBE was carried out for MgTl2Sb after structural relaxation.

- Energy relative to the elements, uncorrected: 0.020 eV per atom
- E above lowest polymorph: 78 meV per atom

Unit cell a=6.094 b=6.094 c=3.388 alpha=90.00 beta=90.00 gamma=116.21
Atoms (fractional coordinates):
Tl: 0.000 0.000 0.000
Tl: 0.500 0.500 0.000
Sb: 0.000 0.500 0.500
Mg: 0.500 0.000 0.500